# 1
DFT (GGA-PBE) results for an optimized crystal structure of K2Zr.

Values from the calculation:
offset from the most stable computed form	0.406	eV/atom
DFT total energy	-2.717	eV/atom
mass density	2.3	g cm⁻³
ΔH_f (0 K)	0.864	eV per atom
size of the total moment	2.035	μB per formula unit

Lattice parameters (Å, degrees): 3.414 3.414 42.477 90.00 90.00 90.00
Space group I4_1/amd (No. 141, origin choice 2)
Unique sites:
K1 0.000 0.250 0.302 x8
Zr1 0.000 0.250 0.875 x4

***

# 2
DFT (GGA-PBE) results for an optimized crystal structure of K2Zr.

Values from the calculation:
offset from the most stable computed form	0.849	eV/atom
DFT total energy	-2.274	eV/atom
mass density	2.0	g cm⁻³
ΔH_f (0 K)	1.307	eV per atom
size of the total moment	3.765	μB per formula unit

Lattice parameters (Å, degrees): 6.4951 6.4951 7.7670 90.00 90.00 120.00
Space group P6_3/mmc (No. 194)
Unique sites:
K1 0.0000 0.0000 0.0000 x2
K2 0.3333 0.6667 0.2500 x2
Zr1 0.3333 0.6667 0.7500 x2

***

# 3
DFT (GGA-PBE) results for an optimized crystal structure of KZr.

Values from the calculation:
offset from the most stable computed form	0.242	eV/atom
DFT total energy	-4.140	eV/atom
mass density	2.6	g cm⁻³
ΔH_f (0 K)	0.683	eV per atom
size of the total moment	0.002	μB per formula unit

Lattice parameters (Å, degrees): 16.695 3.229 9.239 90.00 90.00 90.00
Space group Pmn2_1 (No. 31)
Unique sites:
K1 0.000 0.026 0.000 x2
K2 0.219 0.001 0.673 x4
Zr1 0.000 0.013 0.581 x2
Zr2 0.086 0.513 0.364 x4

***

# 4
DFT (GGA-PBE) results for an optimized crystal structure of KZr.

Values from the calculation:
offset from the most stable computed form	0.780	eV/atom
DFT total energy	-3.601	eV/atom
mass density	3.2	g cm⁻³
ΔH_f (0 K)	1.222	eV per atom
size of the total moment	1.797	μB per formula unit

Lattice parameters (Å, degrees): 8.122 8.122 8.122 90.00 90.00 90.00
Space group Fd-3m (No. 227, origin choice 2)
Unique sites:
K1 0.125 0.125 0.125 x8
Zr1 0.125 0.125 0.625 x8

***

# 5
DFT (GGA-PBE) results for an optimized crystal structure of KZr2.

Values from the calculation:
offset from the most stable computed form	0.088	eV/atom
DFT total energy	-5.577	eV/atom
mass density	3.3	g cm⁻³
ΔH_f (0 K)	0.488	eV per atom
size of the total moment	0.014	μB per formula unit

Lattice parameters (Å, degrees): 5.295 26.724 3.159 90.00 90.00 90.00
Space group Cmcm (No. 63)
Unique sites:
K1 0.000 0.083 0.250 x4
Zr1 0.000 0.230 0.750 x4
Zr2 0.000 0.325 0.250 x4

***

# 6
DFT (GGA-PBE) results for an optimized crystal structure of KZr2.

Values from the calculation:
offset from the most stable computed form	0.015	eV/atom
DFT total energy	-5.650	eV/atom
mass density	3.9	g cm⁻³
ΔH_f (0 K)	0.414	eV per atom
size of the total moment	0.000	μB per formula unit

Lattice parameters (Å, degrees): 3.224 3.224 17.998 90.00 90.00 90.00
Space group I4/mmm (No. 139)
Unique sites:
K1 0.000 0.000 0.000 x2
Zr1 0.000 0.000 0.306 x4

***

# 7
DFT (GGA-PBE) results for an optimized crystal structure of KZr.

Values from the calculation:
offset from the most stable computed form	0.416	eV/atom
DFT total energy	-3.965	eV/atom
mass density	2.8	g cm⁻³
ΔH_f (0 K)	0.857	eV per atom
size of the total moment	0.186	μB per formula unit

Lattice parameters (Å, degrees): 3.198 19.145 5.025 90.00 90.00 90.00
Space group Cmcm (No. 63)
Unique sites:
K1 0.000 0.160 0.250 x4
Zr1 0.000 0.471 0.250 x4

***

# 8
DFT (GGA-PBE) results for an optimized crystal structure of K2Zr.

Values from the calculation:
offset from the most stable computed form	0.276	eV/atom
DFT total energy	-2.848	eV/atom
mass density	1.9	g cm⁻³
ΔH_f (0 K)	0.733	eV per atom
size of the total moment	0.000	μB per formula unit

Lattice parameters (Å, degrees): 6.783 19.224 4.615 90.00 90.00 90.00
Space group Cmcm (No. 63)
Unique sites:
K1 0.000 0.084 0.250 x4
K2 0.000 0.305 0.750 x4
Zr1 0.000 0.469 0.250 x4

***

# 9
DFT (GGA-PBE) results for an optimized crystal structure of K5Zr.

Values from the calculation:
offset from the most stable computed form	0.000	eV/atom
DFT total energy	-1.766	eV/atom
mass density	1.4	g cm⁻³
ΔH_f (0 K)	0.573	eV per atom
size of the total moment	3.303	μB per formula unit

Lattice parameters (Å, degrees): 17.547 4.006 10.090 90.00 106.56 90.00
Space group Cm (No. 8)
Unique sites:
K1 0.000 0.000 0.000 x2
K2 0.041 0.000 0.630 x2
K3 0.160 0.500 0.330 x2
K4 0.295 0.000 0.731 x2
K5 0.354 0.000 0.228 x2
Zr1 0.185 0.500 0.956 x2

***

# 10
DFT (GGA-PBE) results for an optimized crystal structure of KZr3.

Values from the calculation:
DFT total energy	-5.793	eV/atom
mass density	5.0	g cm⁻³
ΔH_f (0 K)	0.892	eV per atom
size of the total moment	0.000	μB per formula unit

Lattice parameters (Å, degrees): 4.714 4.714 9.330 90.00 90.00 90.00
Space group I4/mmm (No. 139)
Unique sites:
K1 0.000 0.000 0.000 x2
Zr1 0.000 0.000 0.500 x2
Zr2 0.000 0.500 0.250 x4

***

# 11
DFT (GGA-PBE) results for an optimized crystal structure of KZr3.

Values from the calculation:
DFT total energy	-5.890	eV/atom
mass density	5.0	g cm⁻³
ΔH_f (0 K)	0.796	eV per atom
size of the total moment	0.000	μB per formula unit

Lattice parameters (Å, degrees): 11.1013 11.1013 2.9193 90.00 90.00 120.00
Space group R-3m (No. 166, hexagonal axes)
Unique sites:
K1 0.0000 0.0000 0.0000 x3
Zr1 0.0000 0.5000 0.0000 x9

***

# 12
DFT (GGA-PBE) results for an optimized crystal structure of K2Zr.

Values from the calculation:
offset from the most stable computed form	0.554	eV/atom
DFT total energy	-2.569	eV/atom
mass density	2.4	g cm⁻³
ΔH_f (0 K)	1.012	eV per atom
size of the total moment	0.000	μB per formula unit

Lattice parameters (Å, degrees): 3.012 6.795 11.636 90.00 90.00 90.00
Space group Immm (No. 71)
Unique sites:
K1 0.000 0.000 0.168 x4
Zr1 0.000 0.500 0.000 x2